A plane-wave DFT calculation with PBE was carried out for a relaxed AgBIr crystal.

Calculated values
Energy   -35.6 eV per cell
Formation enthalpy at 0 K   0.19 eV/atom

Cell and atoms, written as CIF:
```
data_AgBIr
_chemical_formula_sum 'Ag2 B2 Ir2'
_symmetry_space_group_name_H-M 'P 4/n m m'
_symmetry_Int_Tables_number 129
_cell_length_a 2.817
_cell_length_b 2.817
_cell_length_c 10.158
_cell_angle_alpha 90.00
_cell_angle_beta 90.00
_cell_angle_gamma 90.00
loop_
_symmetry_equiv_pos_as_xyz
'x,y,z'
'-x,-y,-z'
'-y+1/2,x,z'
'y+1/2,-x,-z'
'-x+1/2,-y+1/2,z'
'x+1/2,y+1/2,-z'
'y,-x+1/2,z'
'-y,x+1/2,-z'
'x+1/2,-y,-z'
'-x+1/2,y,z'
'-y,-x,-z'
'y,x,z'
'-x,y+1/2,-z'
'x,-y+1/2,z'
'y+1/2,x+1/2,-z'
'-y+1/2,-x+1/2,z'
loop_
_atom_site_label
_atom_site_type_symbol
_atom_site_fract_x
_atom_site_fract_y
_atom_site_fract_z
Ag1 Ag 0.250 0.250 0.107
B1 B 0.250 0.250 0.696
Ir1 Ir 0.250 0.250 0.385
```